{
  "formula": "SrHf2Os",
  "functional": "PBE-GGA",
  "state": "relaxed",
  "de_polymorph_mev_per_atom": 0.0,
  "magnetic_moment_mub_per_atom": 0.000,
  "ef_mev_per_atom": 405.0,
  "lattice": [[0.000, 3.474, 3.474], [3.474, 0.000, 3.474], [3.474, 3.474, 0.000]],
  "species": ["Sr", "Hf", "Hf", "Os"],
  "fractional_positions": [[0.000, 0.000, 0.000], [0.250, 0.250, 0.250], [0.750, 0.750, 0.750], [0.500, 0.500, 0.500]]
}